Entry 1:
Density functional theory data (meta-GGA SCAN) for a crystal of IrSe2BrN relaxed with PBEsol.

Computed properties:
DFT total energy = -131.8 eV for the cell shown
Space-group type = P4/mmm
Uncorrected formation energy = 8.2 eV per formula unit

Lattice parameters (Å, degrees): 4.262 4.262 4.362 90.00 90.00 90.00
Sites, in units of the cell vectors:
Ir: 0.000 0.000 0.000
Se: 0.000 0.500 0.500
Se: 0.500 0.000 0.500
Br: 0.500 0.500 0.000
N: 0.500 0.500 0.500

---

Entry 2:
Density functional theory data (meta-GGA SCAN) for a crystal of Na2IrBr relaxed with PBEsol.

Computed properties:
DFT total energy = -98.1 eV for the cell shown
Space-group type = Fm-3m
Uncorrected formation energy = 0.9 eV per formula unit

Lattice parameters (Å, degrees): 5.023 5.023 5.023 60.00 60.00 60.00
Sites, in units of the cell vectors:
Na: 0.250 0.250 0.250
Na: 0.750 0.750 0.750
Ir: 0.000 0.000 0.000
Br: 0.500 0.500 0.500

---

Entry 3:
Density functional theory data (meta-GGA SCAN) for a crystal of NaIrBr3 relaxed with PBEsol.

Computed properties:
DFT total energy = -135.6 eV for the cell shown
Space-group type = Pm-3m
Uncorrected formation energy = -1.9 eV per formula unit

Lattice parameters (Å, degrees): 5.064 5.064 5.064 90.00 90.00 90.00
Sites, in units of the cell vectors:
Na: 0.000 0.000 0.000
Ir: 0.500 0.500 0.500
Br: 0.000 0.500 0.500
Br: 0.500 0.000 0.500
Br: 0.500 0.500 0.000

---

Entry 4:
Density functional theory data (meta-GGA SCAN) for a crystal of NbIrBr3 relaxed with PBEsol.

Computed properties:
DFT total energy = -158.6 eV for the cell shown
Space-group type = Pm-3m
Uncorrected formation energy = 4.1 eV per formula unit

Lattice parameters (Å, degrees): 4.967 4.967 4.967 90.00 90.00 90.00
Sites, in units of the cell vectors:
Nb: 0.000 0.000 0.000
Ir: 0.500 0.500 0.500
Br: 0.000 0.500 0.500
Br: 0.500 0.000 0.500
Br: 0.500 0.500 0.000

---

Entry 5:
Density functional theory data (meta-GGA SCAN) for a crystal of NbSnIrBr2 relaxed with PBEsol.

Computed properties:
DFT total energy = -172.7 eV for the cell shown
Space-group type = P4/mmm
Uncorrected formation energy = 6.3 eV per formula unit

Lattice parameters (Å, degrees): 5.301 5.301 5.029 90.00 90.00 90.00
Sites, in units of the cell vectors:
Nb: 0.000 0.000 0.000
Sn: 0.500 0.500 0.500
Ir: 0.500 0.500 0.000
Br: 0.000 0.500 0.500
Br: 0.500 0.000 0.500

---

Entry 6:
Density functional theory data (meta-GGA SCAN) for a crystal of NiIrBr2 relaxed with PBEsol.

Computed properties:
DFT total energy = -124.1 eV for the cell shown
Space-group type = P4mm
Uncorrected formation energy = 2.1 eV per formula unit

Lattice parameters (Å, degrees): 3.413 3.413 6.617 90.00 90.00 90.00
Sites, in units of the cell vectors:
Ni: 0.000 0.000 0.000
Ir: 0.500 0.500 0.905
Br: 0.000 0.000 0.662
Br: 0.500 0.500 0.269